DFT (PBE) results for an optimized crystal structure of Cs2CaPCl6.

The structure in CIF format:
```
data_Cs2CaPCl6
_symmetry_space_group_name_H-M 'I 4/m m m'
_symmetry_Int_Tables_number 139
_symmetry_space_group_name_Hall '-I 4 2'
_cell_length_a 7.331
_cell_length_b 7.331
_cell_length_c 12.277
_cell_angle_alpha 90.00
_cell_angle_beta 90.00
_cell_angle_gamma 90.00
loop_
_atom_site_label
_atom_site_type_symbol
_atom_site_fract_x
_atom_site_fract_y
_atom_site_fract_z
Cs1 Cs 0.000 0.500 0.250
Ca1 Ca 0.000 0.000 0.000
P1 P 0.000 0.000 0.500
Cl1 Cl 0.000 0.000 0.217
Cl2 Cl 0.232 0.232 0.500
```

Results
DOS(E_F): 0.000 states/eV/atom
uncorrected formation energy: -148 kJ/mol of atoms
crystal system: tetragonal